TiBeCoF2 after structural relaxation. Source: the Alexandria database, functional PBE with a Hubbard U.

Results
Crystal system: tetragonal
Space group: P4/mmm (123)
E (eV/atom): -5.043
Total magnetic moment (μB per atom): 0.11

Unit cell a=3.2420 b=8.3124 c=3.2420 alpha=90.00 beta=90.00 gamma=90.00
Last column: nearest neighbours and their distance in Å.
Element x y z (fractional)
F 0.5000 0.0000 0.0000  2 Be 1.62
Be 0.0000 0.0000 0.0000  4 F 1.62
Ti 0.0000 0.5000 0.0000  4 Co 2.29
Co 0.5000 0.5000 0.5000  4 Ti 2.29
F 0.0000 0.0000 0.5000  2 Be 1.62